[1]
Material: CrIrI2
Method: DFT, GGA-PBE
State: relaxed

Structure (POSCAR):
```
CrIrI2
1.0
-2.956 2.956 6.675
2.956 -2.956 6.675
2.956 2.956 -6.675
Cr Ir I
2 2 4
Direct
0.000 0.000 0.000 Cr
0.750 0.250 0.500 Cr
0.250 0.750 0.500 Ir
0.500 0.500 0.000 Ir
0.137 0.625 0.012 I
0.375 0.387 0.512 I
0.613 0.125 0.988 I
0.875 0.863 0.488 I
```

Values from the calculation:
Total magnetic moment ... 6.00 μB/cell
Uncorrected formation energy ... 0.71 eV/atom
Density of states at the Fermi level ... 0.923 states/eV/atom
Distance to the lowest polymorph of the same formula ... 0.0 meV/atom
Final energy ... -4.682 eV per atom

=====

[2]
Material: CrIrI2
Method: DFT, GGA-PBE
State: relaxed

Structure (POSCAR):
```
CrIrI2
1.0
0.000 3.505 3.505
3.505 0.000 3.505
3.505 3.505 0.000
Cr Ir I
1 1 2
Direct
0.000 0.000 0.000 Cr
0.500 0.500 0.500 Ir
0.250 0.250 0.250 I
0.750 0.750 0.750 I
```

Values from the calculation:
Total magnetic moment ... 3.03 μB/cell
Uncorrected formation energy ... 0.98 eV/atom
Density of states at the Fermi level ... 0.230 states/eV/atom
Distance to the lowest polymorph of the same formula ... 265.3 meV/atom
Final energy ... -4.416 eV per atom

=====

[3]
Material: Cr2IrI
Method: DFT, GGA-PBE
State: relaxed

Structure (POSCAR):
```
Cr2IrI
1.0
0.000 3.104 3.104
3.104 0.000 3.104
3.104 3.104 0.000
Cr Ir I
2 1 1
Direct
0.250 0.250 0.250 Cr
0.750 0.750 0.750 Cr
0.000 0.000 0.000 Ir
0.500 0.500 0.500 I
```

Values from the calculation:
Total magnetic moment ... 0.00 μB/cell
Uncorrected formation energy ... 0.88 eV/atom
Density of states at the Fermi level ... 0.663 states/eV/atom
Distance to the lowest polymorph of the same formula ... 34.9 meV/atom
Final energy ... -6.534 eV per atom

=====

[4]
Material: Cr2Ir2I
Method: DFT, GGA-PBE
State: relaxed

Structure (POSCAR):
```
Cr2Ir2I
1.0
-1.843 1.843 6.296
1.843 -1.843 6.296
1.843 1.843 -6.296
Cr Ir I
2 2 1
Direct
0.250 0.750 0.500 Cr
0.750 0.250 0.500 Cr
0.118 0.118 0.000 Ir
0.882 0.882 0.000 Ir
0.500 0.500 0.000 I
```

Values from the calculation:
Total magnetic moment ... 0.04 μB/cell
Uncorrected formation energy ... 0.61 eV/atom
Density of states at the Fermi level ... 1.183 states/eV/atom
Distance to the lowest polymorph of the same formula ... 112.6 meV/atom
Final energy ... -7.092 eV per atom

=====

[5]
Material: Li2CrIrI
Method: DFT, GGA-PBE
State: relaxed

Structure (POSCAR):
```
Li2CrIrI
1.0
4.729 0.000 0.000
0.000 4.729 0.000
0.000 0.000 5.174
Li Cr Ir I
2 1 1 1
Direct
0.000 0.500 0.000 Li
0.500 0.000 0.000 Li
0.000 0.000 0.500 Cr
0.500 0.500 0.000 Ir
0.500 0.500 0.500 I
```

Values from the calculation:
Total magnetic moment ... 5.23 μB/cell
Uncorrected formation energy ... 0.66 eV/atom
Density of states at the Fermi level ... 0.452 states/eV/atom
Final energy ... -4.108 eV per atom

=====

[6]
Material: Mn2CrIrI
Method: DFT, GGA-PBE
State: relaxed

Structure (POSCAR):
```
Mn2CrIrI
1.0
4.337 0.000 0.000
0.000 4.337 0.000
0.000 0.000 4.884
Mn Cr Ir I
2 1 1 1
Direct
0.000 0.500 0.000 Mn
0.500 0.000 0.000 Mn
0.000 0.000 0.000 Cr
0.500 0.500 0.500 Ir
0.000 0.000 0.500 I
```

Values from the calculation:
Total magnetic moment ... 4.48 μB/cell
Uncorrected formation energy ... 1.42 eV/atom
Density of states at the Fermi level ... 0.843 states/eV/atom
Final energy ... -6.258 eV per atom